Entry 1:
# MgSeS2 SCAN single point on PBEsol structure
data_MgSeS2
_space_group_name_H-M_alt 'R -3 m'
_space_group_IT_number 166
_space_group_name_Hall '-R 3 2"'
_cell_length_a 3.5271
_cell_length_b 3.5271
_cell_length_c 24.5253
_cell_angle_alpha 90.00
_cell_angle_beta 90.00
_cell_angle_gamma 120.00
loop_
_atom_site_label
_atom_site_type_symbol
_atom_site_fract_x
_atom_site_fract_y
_atom_site_fract_z
Mg1 Mg 0.0000 0.0000 0.0000
Se1 Se 0.0000 0.0000 0.5000
S1 S 0.0000 0.0000 0.1038
# **Volume**: 22.02 Å³ per atom
# **DOS at the Fermi energy**: 1.494 states/eV/f.u.
# **Uncorrected formation energy**: 0.246 eV per atom



Entry 2:
# MgSiS3 SCAN single point on PBEsol structure
data_MgSiS3
_space_group_name_H-M_alt 'P m -3 m'
_space_group_IT_number 221
_space_group_name_Hall '-P 4 2 3'
_cell_length_a 4.503
_cell_length_b 4.503
_cell_length_c 4.503
_cell_angle_alpha 90.00
_cell_angle_beta 90.00
_cell_angle_gamma 90.00
loop_
_atom_site_label
_atom_site_type_symbol
_atom_site_fract_x
_atom_site_fract_y
_atom_site_fract_z
Mg1 Mg 0.000 0.000 0.000
Si1 Si 0.500 0.500 0.500
S1 S 0.000 0.500 0.500
# **Volume**: 18.26 Å³ per atom
# **DOS at the Fermi energy**: 2.318 states/eV/f.u.
# **Uncorrected formation energy**: -0.237 eV per atom



Entry 3:
# MgSiS2 SCAN single point on PBEsol structure
data_MgSiS2
_space_group_name_H-M_alt 'I -4 2 d'
_space_group_IT_number 122
_space_group_name_Hall 'I -4 2bw'
_cell_length_a 5.276
_cell_length_b 5.276
_cell_length_c 12.868
_cell_angle_alpha 90.00
_cell_angle_beta 90.00
_cell_angle_gamma 90.00
loop_
_atom_site_label
_atom_site_type_symbol
_atom_site_fract_x
_atom_site_fract_y
_atom_site_fract_z
Mg1 Mg 0.000 0.000 0.000
Si1 Si 0.000 0.000 0.500
S1 S 0.240 0.250 0.625
# **Volume**: 22.38 Å³ per atom
# **DOS at the Fermi energy**: 1.085 states/eV/f.u.
# **Uncorrected formation energy**: -0.480 eV per atom



Entry 4:
# MgSiS2 SCAN single point on PBEsol structure
data_MgSiS2
_space_group_name_H-M_alt 'R -3 m'
_space_group_IT_number 166
_space_group_name_Hall '-R 3 2"'
_cell_length_a 3.5943
_cell_length_b 3.5943
_cell_length_c 21.2158
_cell_angle_alpha 90.00
_cell_angle_beta 90.00
_cell_angle_gamma 120.00
loop_
_atom_site_label
_atom_site_type_symbol
_atom_site_fract_x
_atom_site_fract_y
_atom_site_fract_z
Mg1 Mg 0.0000 0.0000 0.0000
Si1 Si 0.0000 0.0000 0.5000
S1 S 0.0000 0.0000 0.3989
# **Volume**: 19.78 Å³ per atom
# **DOS at the Fermi energy**: 0.398 states/eV/f.u.
# **Uncorrected formation energy**: -0.433 eV per atom